# PBE NpMnPdRu, optimized geometry
# - V: 279.8 Å³/cell
# - VASP energy: -36.425 eV per formula unit
# - Density of states at the Fermi level: 23.6 states/eV per cell
# - Crystal system: cubic
# - Formation enthalpy at 0 K: 0.038 eV per atom
data_NpMnPdRu
_chemical_formula_sum 'Np4 Mn4 Pd4 Ru4'
_cell_length_a 6.5408
_cell_length_b 6.5408
_cell_length_c 6.5408
_cell_angle_alpha 90.00
_cell_angle_beta 90.00
_cell_angle_gamma 90.00
_space_group_name_H-M_alt 'F -4 3 m'
_space_group_IT_number 216
_space_group_name_Hall 'F -4 2 3'
loop_
_atom_site_label
_atom_site_type_symbol
_atom_site_fract_x
_atom_site_fract_y
_atom_site_fract_z
Np1 Np 0.0000 0.0000 0.0000
Mn1 Mn 0.0000 0.0000 0.5000
Pd1 Pd 0.2500 0.2500 0.7500
Ru1 Ru 0.2500 0.2500 0.2500

# PBE CaSi4Te, optimized geometry
# - V: 452.2 Å³/cell
# - VASP energy: -26.257 eV per formula unit
# - Density of states at the Fermi level: 12.0 states/eV per cell
# - E_form (uncorrected): 0.096 eV/atom
# - Crystal system: cubic
data_CaSi4Te
_chemical_formula_sum 'Ca4 Si16 Te4'
_cell_length_a 7.6753
_cell_length_b 7.6753
_cell_length_c 7.6753
_cell_angle_alpha 90.00
_cell_angle_beta 90.00
_cell_angle_gamma 90.00
_space_group_name_H-M_alt 'F -4 3 m'
_space_group_IT_number 216
_space_group_name_Hall 'F -4 2 3'
loop_
_atom_site_label
_atom_site_type_symbol
_atom_site_fract_x
_atom_site_fract_y
_atom_site_fract_z
Ca1 Ca 0.0000 0.0000 0.0000
Si1 Si 0.1269 0.1269 0.6269
Te1 Te 0.2500 0.2500 0.2500

# PBE RbGeAu3, optimized geometry
# - V: 1080.4 Å³/cell
# - Relative energy among the computed polymorphs: 0.0635 eV/atom
# - VASP energy: -15.830 eV per formula unit
# - Density of states at the Fermi level: 11.8 states/eV per cell
# - Crystal system: orthorhombic
# - Formation enthalpy at 0 K: -0.083 eV per atom
data_RbGeAu3
_chemical_formula_sum 'Rb8 Ge8 Au24'
_cell_length_a 8.5263
_cell_length_b 15.1419
_cell_length_c 8.3681
_cell_angle_alpha 90.00
_cell_angle_beta 90.00
_cell_angle_gamma 90.00
_space_group_name_H-M_alt 'C m c m'
_space_group_IT_number 63
_space_group_name_Hall '-C 2c 2'
loop_
_atom_site_label
_atom_site_type_symbol
_atom_site_fract_x
_atom_site_fract_y
_atom_site_fract_z
Rb1 Rb 0.0000 0.0365 0.2500
Rb2 Rb 0.0000 0.3487 0.7500
Ge1 Ge 0.1454 0.3969 0.2500
Au1 Au 0.1631 0.1744 0.5505
Au2 Au 0.1743 0.5000 0.0000

# PBE Ba2Zn12Ag5, optimized geometry
# - V: 1099.3 Å³/cell
# - VASP energy: -35.526 eV per formula unit
# - Density of states at the Fermi level: 31.8 states/eV per cell
# - Crystal system: trigonal
# - Formation enthalpy at 0 K: -0.112 eV per atom
data_Ba2Zn12Ag5
_chemical_formula_sum 'Ba6 Zn36 Ag15'
_cell_length_a 9.6243
_cell_length_b 9.6243
_cell_length_c 13.7045
_cell_angle_alpha 90.00
_cell_angle_beta 90.00
_cell_angle_gamma 120.00
_space_group_name_H-M_alt 'R -3 m'
_space_group_IT_number 166
_space_group_name_Hall '-R 3 2"'
loop_
_atom_site_label
_atom_site_type_symbol
_atom_site_fract_x
_atom_site_fract_y
_atom_site_fract_z
Ba1 Ba 0.0000 0.0000 0.1534
Zn1 Zn 0.0000 0.2858 0.5000
Zn2 Zn 0.0025 0.5013 0.3443
Ag1 Ag 0.0000 0.0000 0.3964
Ag2 Ag 0.0000 0.5000 0.0000

# PBE FeRuW2, optimized geometry
# - V: 115.0 Å³/cell
# - Relative energy among the computed polymorphs: 0.0051 eV/atom
# - VASP energy: -43.179 eV per formula unit
# - Density of states at the Fermi level: 7.9 states/eV per cell
# - Crystal system: tetragonal
# - Formation enthalpy at 0 K: 0.116 eV per atom
data_FeRuW2
_chemical_formula_sum 'Fe2 Ru2 W4'
_cell_length_a 3.8734
_cell_length_b 3.8734
_cell_length_c 7.6666
_cell_angle_alpha 90.00
_cell_angle_beta 90.00
_cell_angle_gamma 90.00
_space_group_name_H-M_alt 'I 4/m m m'
_space_group_IT_number 139
_space_group_name_Hall '-I 4 2'
loop_
_atom_site_label
_atom_site_type_symbol
_atom_site_fract_x
_atom_site_fract_y
_atom_site_fract_z
Fe1 Fe 0.0000 0.0000 0.0000
Ru1 Ru 0.0000 0.0000 0.5000
W1 W 0.0000 0.5000 0.2500

# PBE LiCaTm2, optimized geometry
# - V: 365.2 Å³/cell
# - Relative energy among the computed polymorphs: 0.1311 eV/atom
# - VASP energy: -11.633 eV per formula unit
# - Density of states at the Fermi level: 16.6 states/eV per cell
# - Crystal system: trigonal
# - Formation enthalpy at 0 K: 0.306 eV per atom
data_LiCaTm2
_chemical_formula_sum 'Li3 Ca3 Tm6'
_cell_length_a 3.4250
_cell_length_b 3.4250
_cell_length_c 35.9493
_cell_angle_alpha 90.00
_cell_angle_beta 90.00
_cell_angle_gamma 120.00
_space_group_name_H-M_alt 'R -3 m'
_space_group_IT_number 166
_space_group_name_Hall '-R 3 2"'
loop_
_atom_site_label
_atom_site_type_symbol
_atom_site_fract_x
_atom_site_fract_y
_atom_site_fract_z
Li1 Li 0.0000 0.0000 0.0000
Ca1 Ca 0.0000 0.0000 0.5000
Tm1 Tm 0.0000 0.0000 0.4073